Below is an optimized crystal structure of AcLa6Nd5, with properties calculated at the PBE level.

abc: 6.478 8.342 8.342
angles: 84.33 97.34 97.34
Fractional coordinates of all 12 atoms:
1 La 0.750 0.916 0.580
2 Ac 0.000 0.000 0.000
3 Nd 0.500 0.169 0.831
4 La 0.745 0.252 0.252
5 Nd 0.000 0.336 0.664
6 La 0.750 0.580 0.916
7 La 0.250 0.084 0.420
8 La 0.255 0.748 0.748
9 Nd 0.000 0.664 0.336
10 Nd 0.500 0.831 0.169
11 Nd 0.500 0.500 0.500
12 La 0.250 0.420 0.084

Results
As for the total magnetization: 0.0 μB per cell. The value obtained for the formation energy is 0.016 eV per atom. The value obtained for the total energy is -57.32 eV for the cell shown. The energy above the lowest structure with this stoichiometry comes out at 0 meV per atom.

Below is an optimized crystal structure of AcLa3Nd5, with properties calculated at the PBE level.

abc: 7.077 9.100 12.082
angles: 107.57 90.00 112.88
Fractional coordinates of all 18 atoms:
1 Ac 0.768 0.000 0.750
2 Nd 0.310 0.000 0.750
3 La 0.369 0.515 0.638
4 Nd 0.394 0.785 0.455
5 La 0.854 0.485 0.862
6 La 0.000 0.000 0.500
7 Nd 0.289 0.355 0.869
8 Nd 0.935 0.645 0.631
9 Ac 0.232 0.000 0.250
10 La 0.631 0.485 0.362
11 Nd 0.609 0.215 0.045
12 Nd 0.711 0.645 0.131
13 La 0.146 0.515 0.138
14 Nd 0.391 0.785 0.955
15 Nd 0.606 0.215 0.545
16 Nd 0.690 0.000 0.250
17 Nd 0.065 0.355 0.369
18 La 0.000 0.000 0.000

Results
As for the total magnetization: 0.0 μB per cell. The value obtained for the formation energy is 0.141 eV per atom. The value obtained for the total energy is -82.92 eV for the cell shown. The energy above the lowest structure with this stoichiometry comes out at 0 meV per atom.

Below is an optimized crystal structure of Ac3LaNd4, with properties calculated at the PBE level.

abc: 7.574 7.572 10.857
angles: 90.00 90.00 90.00
Fractional coordinates of all 16 atoms:
1 Ac 0.999 0.811 0.500
2 La 0.499 0.810 0.000
3 Ac 0.255 0.061 0.750
4 Ac 0.745 0.561 0.250
5 La 0.501 0.310 0.500
6 Nd 0.251 0.561 0.250
7 Nd 0.251 0.561 0.750
8 Nd 0.749 0.061 0.250
9 Ac 0.255 0.061 0.250
10 Ac 0.745 0.561 0.750
11 Nd 0.500 0.310 0.000
12 Nd 0.500 0.810 0.500
13 Nd 0.000 0.811 0.000
14 Nd 0.749 0.061 0.750
15 Nd 0.000 0.311 0.500
16 Ac 0.001 0.311 0.000

Results
As for the total magnetization: 0.0 μB per cell. The value obtained for the formation energy is 0.028 eV per atom. The value obtained for the total energy is -72.20 eV for the cell shown. The energy above the lowest structure with this stoichiometry comes out at 0 meV per atom.

Below is an optimized crystal structure of Ac4La5Nd, with properties calculated at the PBE level.

abc: 12.690 7.405 9.017
angles: 90.00 90.00 90.00
Fractional coordinates of all 20 atoms:
1 La 0.270 0.751 0.180
2 Ac 0.999 0.000 0.243
3 La 0.730 0.251 0.680
4 La 0.730 0.749 0.680
5 Ac 0.001 0.500 0.257
6 La 0.270 0.249 0.180
7 Ac 0.468 0.750 0.500
8 Nd 0.220 0.500 0.500
9 Nd 0.780 0.000 0.000
10 La 0.213 0.000 0.500
11 Ac 0.001 0.500 0.743
12 Ac 0.532 0.750 0.000
13 Ac 0.532 0.250 0.000
14 La 0.730 0.251 0.320
15 Ac 0.999 0.000 0.757
16 Ac 0.468 0.250 0.500
17 La 0.270 0.249 0.820
18 La 0.270 0.751 0.820
19 La 0.787 0.500 0.000
20 La 0.730 0.749 0.320

Results
As for the total magnetization: 0.0 μB per cell. The value obtained for the formation energy is 0.284 eV per atom. The value obtained for the total energy is -86.00 eV for the cell shown. The energy above the lowest structure with this stoichiometry comes out at 126 meV per atom.